First-principles (PBE-GGA) data for a geometry-optimized Tm4In3Ru structure, as listed in the Alexandria database.

As for the space-group type: P4/mmm (123). The formation enthalpy at 0 K is -0.479 eV/atom. The electronic total energy comes out at -4.90 eV per atom. Its spin magnetization is 0.000 μB per atom.

Lattice parameters (Å, degrees): 3.481 3.481 15.769 90.00 90.00 90.00
Positions (direct):
In 0.500 0.500 0.500
In 0.500 0.500 0.237
In 0.500 0.500 0.763
Tm 0.000 0.000 0.101
Tm 0.000 0.000 0.632
Tm 0.000 0.000 0.899
Tm 0.000 0.000 0.368
Ru 0.500 0.500 0.000

---

First-principles (PBE-GGA) data for a geometry-optimized TmIn3Ru structure, as listed in the Alexandria database.

As for the space-group type: R3c (161). The formation enthalpy at 0 K is -0.009 eV/atom. The energy above the most stable polymorph in this dataset is 278.2 meV/atom. The electronic total energy comes out at -4.40 eV per atom. Its spin magnetization is 0.000 μB per atom.

Lattice parameters (Å, degrees): 6.631 6.631 6.631 71.07 71.07 71.07
Positions (direct):
In 0.909 0.403 0.039
In 0.403 0.039 0.909
In 0.539 0.903 0.409
In 0.039 0.909 0.403
In 0.903 0.409 0.539
In 0.409 0.539 0.903
Ru 0.244 0.244 0.244
Ru 0.744 0.744 0.744
Tm 0.922 0.922 0.922
Tm 0.422 0.422 0.422

---

First-principles (PBE-GGA) data for a geometry-optimized Tm7In2Ru2 structure, as listed in the Alexandria database.

As for the space-group type: Cmmm (65). The formation enthalpy at 0 K is -0.272 eV/atom. The electronic total energy comes out at -5.30 eV per atom. Its spin magnetization is 0.000 μB per atom.

Lattice parameters (Å, degrees): 6.692 7.032 6.692 90.00 106.93 90.00
Positions (direct):
Tm 0.500 0.759 0.500
Tm 0.500 0.751 0.000
Tm 0.000 0.000 0.000
Tm 0.000 0.249 0.500
Tm 0.500 0.249 0.000
Tm 0.000 0.751 0.500
Tm 0.500 0.241 0.500
Ru 0.706 0.000 0.294
Ru 0.294 0.000 0.706
In 0.178 0.500 0.178
In 0.822 0.500 0.822